## SrMgGaPt2 (GGA-PBE)

Data for SrMgGaPt2 after structural relaxation.

Unit cell a=4.257 b=4.257 c=6.550 alpha=108.96 beta=108.96 gamma=90.00
Atoms (fractional coordinates):
1 Sr 0.000 0.000 0.000
2 Mg 0.250 0.750 0.500
3 Ga 0.750 0.250 0.500
4 Pt 0.617 0.617 0.234
5 Pt 0.383 0.383 0.766

Results
- Energy of formation from the pure elements: -0.84 eV per atom
- Raw total energy: -22.6 eV per cell
- Symmetry: I-4m2, No. 119